SmHo7Er3 | Alexandria via LeMat-Bulk | PBE | optimized geometry; N(E_F) = 17.431 states/eV/f.u.; energy above the most stable polymorph in this dataset = 0.048 eV per atom; total magnetization = 0.00 μB/cell; calculated formation energy = 196.8 meV per atom
1.0
8.534 0.000 0.000
0.000 7.009 0.000
0.000 -3.505 6.070
Sm Ho Er
1 7 3
Cartesian
3.812 0.000 4.047
0.992 -1.739 5.051
0.992 0.000 2.039
1.017 3.505 2.023
3.836 5.244 1.019
3.836 1.766 1.019
3.836 3.505 4.031
0.992 1.739 5.051
6.692 1.756 3.033
6.692 3.505 0.004
6.692 5.253 3.033

Ru2W3 | Alexandria via LeMat-Bulk | PBE | optimized geometry; N(E_F) = 5.350 states/eV/f.u.; energy above the most stable polymorph in this dataset = 0.535 eV per atom; total magnetization = 0.00 μB/cell; calculated formation energy = 577.1 meV per atom
1.0
2.126 -3.683 0.000
2.126 3.683 0.000
0.000 0.000 5.412
Ru W
2 3
Cartesian
2.126 -1.228 0.801
2.126 1.228 4.611
0.000 0.000 0.000
2.126 -1.228 3.400
2.126 1.228 2.013

> Number 2 is which compound?

Ru2W3

> Number 1 is which compound?

SmHo7Er3